Computed, not measured: a geometry-optimized Y7Fe6 structure at the PBE-GGA level of DFT.

Computed properties:
- E: -6.6355 eV/atom
- DFT formation energy: 17.318 kcal/mol of atoms
- Crystal system: trigonal
- Volume: 24.5 A^3/atom
- Fermi-level density of states: 1.25 states/eV per atom
- Density: 5.00 g/cm³

abc: 9.443 9.443 9.443
angles: 40.34 40.34 40.34
Fractional coordinates of all 13 atoms:
1 Y 0.000 0.000 0.000
2 Y 0.074 0.074 0.565
3 Y 0.074 0.565 0.074
4 Y 0.435 0.926 0.926
5 Y 0.565 0.074 0.074
6 Y 0.926 0.435 0.926
7 Y 0.926 0.926 0.435
8 Fe 0.167 0.167 0.167
9 Fe 0.366 0.366 0.366
10 Fe 0.451 0.451 0.451
11 Fe 0.549 0.549 0.549
12 Fe 0.634 0.634 0.634
13 Fe 0.833 0.833 0.833